Record 1
Here is a PBEsol-optimized structure of Ag2Sn2Hg from Alexandria via LeMat-Bulk. Energies are from meta-GGA SCAN.

Summary:
The calculation puts the calculated volume at 22.48 A^3/atom. Its formation energy from the elements is 0.163 eV/atom. Its symmetry is P4/mbm, No. 127. For the final energy, the calculation gives -40.39 eV/atom.

Cell: 8.641 8.641 3.011 Å, 90.00 90.00 90.00°
Fractional coordinates of all 10 atoms:
Ag 0.155 0.345 0.000
Ag 0.345 0.845 0.000
Ag 0.655 0.155 0.000
Ag 0.845 0.655 0.000
Sn 0.142 0.642 0.500
Sn 0.358 0.142 0.500
Sn 0.642 0.858 0.500
Sn 0.858 0.358 0.500
Hg 0.000 0.000 0.500
Hg 0.500 0.500 0.500

Record 2
Here is a PBEsol-optimized structure of CsLiAg2 from Alexandria via LeMat-Bulk. Energies are from meta-GGA SCAN.

Summary:
The calculation puts the calculated volume at 30.53 A^3/atom. Its formation energy from the elements is 0.395 eV/atom. Its symmetry is Fm-3m, No. 225. For the final energy, the calculation gives -25.34 eV/atom.

Cell: 5.569 5.569 5.569 Å, 60.00 60.00 60.00°
Fractional coordinates of all 4 atoms:
Cs 0.000 0.000 0.000
Li 0.500 0.500 0.500
Ag 0.250 0.250 0.250
Ag 0.750 0.750 0.750

Record 3
Here is a PBEsol-optimized structure of MgCd2Ag2 from Alexandria via LeMat-Bulk. Energies are from meta-GGA SCAN.

Summary:
The calculation puts the calculated volume at 19.38 A^3/atom. Its formation energy from the elements is -0.080 eV/atom. Its symmetry is P4/mbm, No. 127. For the final energy, the calculation gives -25.79 eV/atom.

Cell: 7.611 7.611 3.346 Å, 90.00 90.00 90.00°
Fractional coordinates of all 10 atoms:
Mg 0.000 0.000 0.000
Mg 0.500 0.500 0.000
Cd 0.163 0.337 0.500
Cd 0.337 0.837 0.500
Cd 0.663 0.163 0.500
Cd 0.837 0.663 0.500
Ag 0.136 0.636 0.000
Ag 0.364 0.136 0.000
Ag 0.636 0.864 0.000
Ag 0.864 0.364 0.000

Record 4
Here is a PBEsol-optimized structure of KBeFe2 from Alexandria via LeMat-Bulk. Energies are from meta-GGA SCAN.

Summary:
The calculation puts the calculated volume at 14.82 A^3/atom. Its formation energy from the elements is 0.687 eV/atom. Its symmetry is Pm, No. 6. For the final energy, the calculation gives -11.55 eV/atom.

Cell: 2.578 3.146 7.311 Å, 90.00 90.12 90.00°
Fractional coordinates of all 4 atoms:
K 0.000 0.000 0.000
Be 0.482 0.500 0.355
Fe 0.484 0.500 0.647
Fe 0.983 0.000 0.502

Record 5
Here is a PBEsol-optimized structure of K2Co2Pd from Alexandria via LeMat-Bulk. Energies are from meta-GGA SCAN.

Summary:
The calculation puts the calculated volume at 20.26 A^3/atom. Its formation energy from the elements is 1.333 eV/atom. Its symmetry is I4/mmm, No. 139. For the final energy, the calculation gives -15.48 eV/atom.

Cell: 7.431 7.431 7.431 Å, 150.17 150.17 42.69°
Fractional coordinates of all 5 atoms:
K 0.250 0.750 0.500
K 0.750 0.250 0.500
Co 0.071 0.071 0.000
Co 0.929 0.929 0.000
Pd 0.500 0.500 0.000

Record 6
Here is a PBEsol-optimized structure of CrGaPd2C from Alexandria via LeMat-Bulk. Energies are from meta-GGA SCAN.

Summary:
The calculation puts the calculated volume at 13.69 A^3/atom. Its formation energy from the elements is 0.344 eV/atom. Its symmetry is P4/mmm, No. 123. For the final energy, the calculation gives -21.73 eV/atom.

Cell: 4.212 4.212 3.858 Å, 90.00 90.00 90.00°
Fractional coordinates of all 5 atoms:
Cr 0.000 0.000 0.000
Ga 0.500 0.500 0.000
Pd 0.000 0.500 0.500
Pd 0.500 0.000 0.500
C 0.500 0.500 0.500

Record 7
Here is a PBEsol-optimized structure of ZnPbW from Alexandria via LeMat-Bulk. Energies are from meta-GGA SCAN.

Summary:
The calculation puts the calculated volume at 20.28 A^3/atom. The distance to the lowest polymorph of the same formula is 554 meV/atom. Its formation energy from the elements is 1.349 eV/atom. Its symmetry is F-43m, No. 216. For the final energy, the calculation gives -51.65 eV/atom.

Cell: 4.415 4.415 4.415 Å, 60.00 60.00 60.00°
Fractional coordinates of all 3 atoms:
Zn 0.000 0.000 0.000
Pb 0.750 0.750 0.750
W 0.250 0.250 0.250

Record 8
Here is a PBEsol-optimized structure of Li2CuTe from Alexandria via LeMat-Bulk. Energies are from meta-GGA SCAN.

Summary:
The calculation puts the calculated volume at 17.24 A^3/atom. Its symmetry is Pmm2, No. 25. For the final energy, the calculation gives -14.51 eV/atom. As for the formation energy (no corrections): -0.202 eV/atom.

Cell: 3.144 3.890 5.636 Å, 90.00 90.00 90.00°
Fractional coordinates of all 4 atoms:
Li 0.000 0.000 0.000
Li 0.500 0.500 0.272
Cu 0.500 0.500 0.797
Te 0.000 0.000 0.519

Record 9
Here is a PBEsol-optimized structure of NiPd2RuO from Alexandria via LeMat-Bulk. Energies are from meta-GGA SCAN.

Summary:
The calculation puts the calculated volume at 14.45 A^3/atom. Its symmetry is P4/mmm, No. 123. For the final energy, the calculation gives -24.04 eV/atom. As for the formation energy (no corrections): 0.514 eV/atom.

Cell: 4.718 4.718 3.247 Å, 90.00 90.00 90.00°
Fractional coordinates of all 5 atoms:
Ni 0.000 0.000 0.000
Pd 0.000 0.500 0.000
Pd 0.500 0.000 0.000
Ru 0.500 0.500 0.500
O 0.000 0.000 0.500

Record 10
Here is a PBEsol-optimized structure of TiCo3P4O16 from Alexandria via LeMat-Bulk. Energies are from meta-GGA SCAN.

Summary:
The calculation puts the calculated volume at 11.41 A^3/atom. Its symmetry is Pm, No. 6. For the final energy, the calculation gives -10.90 eV/atom. As for the formation energy (no corrections): -2.180 eV/atom.

Cell: 4.826 5.811 9.766 Å, 90.00 90.02 90.00°
Fractional coordinates of all 24 atoms:
Ti 0.000 0.000 0.000
Co 0.425 0.000 0.504
Co 0.491 0.500 0.044
Co 0.929 0.500 0.539
P 0.037 0.500 0.866
P 0.372 0.500 0.369
P 0.575 0.000 0.179
P 0.870 0.000 0.672
O 0.112 0.500 0.716
O 0.182 0.292 0.944
O 0.182 0.708 0.944
O 0.183 0.000 0.655
O 0.223 0.293 0.440
O 0.223 0.707 0.440
O 0.267 0.000 0.142
O 0.318 0.500 0.213
O 0.622 0.000 0.331
O 0.684 0.500 0.391
O 0.721 0.208 0.604
O 0.721 0.792 0.604
O 0.726 0.500 0.891
O 0.728 0.202 0.103
O 0.728 0.798 0.103
O 0.816 0.000 0.830

Record 11
Here is a PBEsol-optimized structure of BeSi2Hg from Alexandria via LeMat-Bulk. Energies are from meta-GGA SCAN.

Summary:
The calculation puts the calculated volume at 16.33 A^3/atom. The distance to the lowest polymorph of the same formula is 8 meV/atom. Its symmetry is Cm, No. 8. For the final energy, the calculation gives -22.65 eV/atom. As for the formation energy (no corrections): 0.490 eV/atom.

Cell: 3.549 3.549 6.341 Å, 106.57 106.57 60.02°
Fractional coordinates of all 4 atoms:
Be 0.000 0.000 0.000
Si 0.471 0.471 0.411
Si 0.731 0.731 0.194
Hg 0.247 0.247 0.738

Record 12
Here is a PBEsol-optimized structure of CsRe3S4Br2 from Alexandria via LeMat-Bulk. Energies are from meta-GGA SCAN.

Summary:
The calculation puts the calculated volume at 26.33 A^3/atom. Its symmetry is P2_1/c, No. 14. For the final energy, the calculation gives -33.76 eV/atom. As for the formation energy (no corrections): -0.905 eV/atom.

Cell: 6.323 18.381 9.941 Å, 90.00 114.30 90.00°
Fractional coordinates of all 40 atoms:
Cs 0.046 0.192 0.061
Cs 0.046 0.308 0.561
Cs 0.954 0.692 0.439
Cs 0.954 0.808 0.939
Re 0.141 0.582 0.106
Re 0.141 0.918 0.606
Re 0.176 0.059 0.658
Re 0.176 0.441 0.158
Re 0.224 0.006 0.429
Re 0.224 0.494 0.929
Re 0.776 0.506 0.071
Re 0.776 0.994 0.571
Re 0.824 0.559 0.842
Re 0.824 0.941 0.342
Re 0.859 0.082 0.394
Re 0.859 0.418 0.894
S 0.084 0.527 0.308
S 0.084 0.973 0.808
S 0.177 0.622 0.886
S 0.177 0.878 0.386
S 0.240 0.134 0.481
S 0.240 0.366 0.981
S 0.499 0.017 0.311
S 0.499 0.483 0.811
S 0.501 0.517 0.189
S 0.501 0.983 0.689
S 0.760 0.634 0.019
S 0.760 0.866 0.519
S 0.823 0.122 0.614
S 0.823 0.378 0.114
S 0.916 0.027 0.192
S 0.916 0.473 0.692
Br 0.324 0.699 0.244
Br 0.324 0.801 0.744
Br 0.407 0.140 0.873
Br 0.407 0.360 0.373
Br 0.593 0.640 0.627
Br 0.593 0.860 0.127
Br 0.676 0.199 0.256
Br 0.676 0.301 0.756